# TbSmCd14

A relaxed TbSmCd14 crystal (PBE-GGA, Alexandria).

Unit cell a=6.641 b=6.641 c=8.483 alpha=90.00 beta=90.00 gamma=90.00
Fractional coordinates of all 16 atoms:
Cd  0.375  0.875  0.500
Cd  0.375  0.875  0.000
Cd  0.126  0.624  0.240
Cd  0.126  0.624  0.760
Cd  0.624  0.126  0.240
Cd  0.875  0.375  0.500
Cd  0.875  0.375  0.000
Cd  0.875  0.875  0.000
Cd  0.624  0.624  0.240
Cd  0.126  0.126  0.240
Cd  0.624  0.126  0.760
Cd  0.375  0.375  0.000
Cd  0.624  0.624  0.760
Cd  0.126  0.126  0.760
Tb  0.375  0.375  0.500
Sm  0.875  0.875  0.500

Results
Crystal system: tetragonal
Mass density in g/cm3: 8.36
Space group: P4/mmm (123)
Formation energy in meV per atom: -145


# LaPaHg2

A relaxed LaPaHg2 crystal (PBE-GGA, Alexandria).

Unit cell a=3.358 b=3.358 c=9.302 alpha=90.00 beta=90.00 gamma=90.00
Last column: magnetic moment on the atom in μB.
Fractional coordinates of all 4 atoms:
Hg  0.000  0.000  0.742  0.00
Hg  0.000  0.000  0.258  0.00
Pa  0.500  0.500  0.500  0.84
La  0.500  0.500  0.000  0.02

Results
Crystal system: tetragonal
Energy relative to the lowest polymorph listed for this composition in meV per atom: 0
Mass density in g/cm3: 12.21
Space group: P4/mmm (123)
Formation energy in meV per atom: -151


Number 1: raw total energy -24.49 eV/f.u., total magnetic moment 0.00 μB per formula unit. Number 2: raw total energy -15.63 eV/f.u., total magnetic moment 1.03 μB per formula unit.